Entry 1:
# Ti3RePt

A relaxed Ti3RePt crystal (GGA-PBE, Alexandria).

Cell lengths 4.6758, 4.6758, 4.6758 Å; angles 90.00, 90.00, 90.00 degrees
With the nearest neighbours (Å) after each atom.
Fractional coordinates of all 5 atoms:
Re1 0.0000 0.0000 0.0000  6 Ti 2.34
Pt1 0.5000 0.5000 0.5000  12 Ti 3.31
Ti1 0.0000 0.5000 0.0000  2 Re 2.34
Ti2 0.5000 0.0000 0.0000  2 Re 2.34
Ti3 0.0000 0.0000 0.5000  2 Re 2.34

## Properties
V	102.2	Å³/f.u.
SG	Pm-3m (221)
E_tot	-7.8301	eV/atom
excess energy over the best structure of this formula in the dataset	0.000	eV per atom
spin magnetization	0.071	μB per formula unit

Entry 2:
# Sm3AgHg2

A relaxed Sm3AgHg2 crystal (GGA-PBE, Alexandria).

Cell lengths 5.3249, 5.3249, 13.0244 Å; angles 90.00, 90.00, 120.00 degrees
With the nearest neighbours (Å) after each atom.
Fractional coordinates of all 12 atoms:
Sm1 0.3333 0.6667 0.4168  4 Ag 3.23-3.25, 4 Hg 3.25-3.26
Sm2 0.6667 0.3333 0.5832  4 Ag 3.23-3.25, 4 Hg 3.25-3.26
Sm3 0.0000 0.0000 0.7481  5 Hg 3.23-3.28, 3 Ag 3.26
Sm4 0.3333 0.6667 0.9143  1 Ag 3.25, 7 Hg 3.25-3.29
Sm5 0.6667 0.3333 0.0857  1 Ag 3.25, 7 Hg 3.25-3.29
Sm6 0.0000 0.0000 0.2519  5 Hg 3.23-3.28, 3 Ag 3.26
Ag1 0.3333 0.6667 0.6650  8 Sm 3.23-3.26
Ag2 0.6667 0.3333 0.3350  8 Sm 3.23-3.26
Hg1 0.3333 0.6667 0.1671  8 Sm 3.25-3.29
Hg2 0.0000 0.0000 0.5000  8 Sm 3.23-3.26
Hg3 0.0000 0.0000 0.0000  8 Sm 3.27-3.28
Hg4 0.6667 0.3333 0.8329  8 Sm 3.25-3.29

## Properties
V	159.9	Å³/f.u.
SG	P-3m1 (164)
E_tot	-3.3446	eV/atom
excess energy over the best structure of this formula in the dataset	0.000	eV per atom
spin magnetization	0.629	μB per formula unit

Quick rundown of DFT formation energy, same order as above: 0.60; -0.41 eV/atom